# PBE-GGA Pm2NdPa, relaxed
data_Pm2NdPa
_chemical_formula_sum 'Pm2 Nd1 Pa1'
_space_group_name_H-M_alt 'P 1'
_space_group_IT_number 1
_cell_length_a 12.714
_cell_length_b 12.714
_cell_length_c 12.714
_cell_angle_alpha 15.33
_cell_angle_beta 15.33
_cell_angle_gamma 15.33
loop_
_space_group_symop_operation_xyz
'x,y,z'
loop_
_atom_site_label
_atom_site_type_symbol
_atom_site_fract_x
_atom_site_fract_y
_atom_site_fract_z
_atom_site_occupancy
Pm1 Pm 0.086 0.086 0.086 1
Pm2 Pm 0.914 0.914 0.914 1
Nd1 Nd 0.500 0.500 0.500 1
Pa1 Pa 0.000 0.000 0.000 1
# Energy above the most stable polymorph in this dataset: 176 meV/atom
# Crystal system: trigonal
# DFT formation energy: 0.326 eV per atom
# Magnetic moment: 0.00 μB per formula unit
# E_tot: -22.5 eV for the cell shown

***

# PBE-GGA Tl2SeCl, relaxed
data_Tl2SeCl
_chemical_formula_sum 'Tl2 Se1 Cl1'
_space_group_name_H-M_alt 'P 1'
_space_group_IT_number 1
_cell_length_a 8.211
_cell_length_b 8.211
_cell_length_c 8.211
_cell_angle_alpha 151.55
_cell_angle_beta 150.84
_cell_angle_gamma 41.19
loop_
_space_group_symop_operation_xyz
'x,y,z'
loop_
_atom_site_label
_atom_site_type_symbol
_atom_site_fract_x
_atom_site_fract_y
_atom_site_fract_z
_atom_site_occupancy
Tl1 Tl 0.000 0.000 0.000 1
Tl2 Tl 0.766 0.266 0.500 1
Se1 Se 0.464 0.464 0.000 1
Cl1 Cl 0.185 0.685 0.500 1
# Energy above the most stable polymorph in this dataset: 50 meV/atom
# Crystal system: orthorhombic
# Magnetic moment: 0.00 μB per formula unit
# E_tot: -12.2 eV for the cell shown